1.
Computed, not measured: BaCo2Re after structural relaxation at the PBE level of DFT.

a = 5.781 Å, b = 5.781 Å, c = 5.781 Å
α = 151.39°, β = 128.31°, γ = 60.14°
Site moments in Bohr magnetons follow the coordinates.
Positions (direct):
Re 0.541 0.541 0.000  0.23
Ba 0.248 0.748 0.500  -0.04
Co 0.753 0.253 0.500  1.18
Co 0.959 0.959 0.000  1.66

Values from the calculation:
- Formation energy: 1105.2 meV/atom
- E above lowest polymorph: 750.3 meV/atom
- Fermi-level density of states: 6.2 states/eV per cell
- Spin magnetization: 0.75 μB/atom



2.
Computed, not measured: AcPm5Y5 after structural relaxation at the PBE level of DFT.

a = 6.221 Å, b = 6.221 Å, c = 11.881 Å
α = 90.00°, β = 90.00°, γ = 120.00°
Positions (direct):
Ac 0.333 0.667 0.000
Y 0.000 0.000 0.263
Y 0.332 0.166 0.500
Pm 0.667 0.333 0.158
Pm 0.333 0.667 0.672
Pm 0.000 0.000 0.000
Y 0.834 0.668 0.500
Pm 0.667 0.333 0.842
Y 0.000 0.000 0.737
Pm 0.333 0.667 0.328
Y 0.834 0.166 0.500

Values from the calculation:
- Formation energy: 302.7 meV/atom
- Fermi-level density of states: 23.1 states/eV per cell
- Spin magnetization: 0.00 μB/atom



3.
Computed, not measured: Tb2PaGe3Ir4 after structural relaxation at the PBE level of DFT.

a = 4.231 Å, b = 4.231 Å, c = 11.020 Å
α = 90.00°, β = 90.00°, γ = 90.00°
Positions (direct):
Pa 0.500 0.500 0.500
Ir 0.500 0.000 0.652
Ge 0.500 0.000 0.875
Tb 0.500 0.000 0.219
Ir 0.000 0.000 0.000
Ir 0.000 0.500 0.348
Ge 0.000 0.500 0.125
Ge 0.000 0.000 0.500
Ir 0.500 0.500 0.000
Tb 0.000 0.500 0.781

Values from the calculation:
- Formation energy: -768.1 meV/atom
- Fermi-level density of states: 5.7 states/eV per cell
- Spin magnetization: 0.00 μB/atom



4.
Computed, not measured: MgSn4Hg after structural relaxation at the PBE level of DFT.

a = 6.231 Å, b = 6.231 Å, c = 6.231 Å
α = 60.00°, β = 60.00°, γ = 60.00°
Positions (direct):
Mg 0.250 0.250 0.250
Sn 0.625 0.625 0.625
Sn 0.125 0.625 0.625
Sn 0.625 0.125 0.625
Sn 0.625 0.625 0.125
Hg 0.000 0.000 0.000

Values from the calculation:
- Formation energy: 164.8 meV/atom
- Fermi-level density of states: 6.1 states/eV per cell
- Spin magnetization: 0.00 μB/atom



5.
Computed, not measured: InTcBr2 after structural relaxation at the PBE level of DFT.

a = 3.537 Å, b = 6.149 Å, c = 4.667 Å
α = 90.00°, β = 90.00°, γ = 90.00°
Site moments in Bohr magnetons follow the coordinates.
Positions (direct):
Br 0.500 0.500 0.000  0.05
Tc 0.000 0.500 0.500  3.18
Br 0.000 0.000 0.000  0.04
In 0.500 0.000 0.500  0.00

Values from the calculation:
- E above lowest polymorph: 581.0 meV/atom
- Fermi-level density of states: 2.3 states/eV per cell
- Uncorrected formation energy: 0.5092 eV/atom
- Spin magnetization: 0.92 μB/atom



6.
Computed, not measured: Ge2Pb3Au6 after structural relaxation at the PBE level of DFT.

a = 4.377 Å, b = 4.377 Å, c = 13.285 Å
α = 99.48°, β = 99.48°, γ = 90.00°
Positions (direct):
Au 0.895 0.395 0.789
Au 0.317 0.317 0.634
Ge 0.450 0.450 0.901
Au 0.605 0.105 0.211
Au 0.105 0.605 0.211
Pb 0.000 0.000 0.000
Pb 0.204 0.204 0.407
Au 0.395 0.895 0.789
Au 0.683 0.683 0.366
Ge 0.550 0.550 0.099
Pb 0.796 0.796 0.593

Values from the calculation:
- Formation energy: -11.2 meV/atom
- Fermi-level density of states: 5.6 states/eV per cell
- Spin magnetization: 0.00 μB/atom



7.
Computed, not measured: K2PmMg3F12 after structural relaxation at the PBE level of DFT.

a = 6.924 Å, b = 6.924 Å, c = 6.924 Å
α = 65.43°, β = 65.43°, γ = 65.43°
Site moments in Bohr magnetons follow the coordinates.
Positions (direct):
Mg 0.000 0.000 0.500  0.00
F 0.135 0.135 0.602  0.14
F 0.265 0.265 0.897  0.03
F 0.135 0.602 0.135  0.14
F 0.865 0.865 0.398  0.14
F 0.735 0.735 0.103  0.03
K 0.608 0.608 0.608  0.00
Pm 0.000 0.000 0.000  -0.01
F 0.865 0.398 0.865  0.14
F 0.103 0.735 0.735  0.03
Mg 0.000 0.500 0.000  0.00
F 0.265 0.897 0.265  0.03
F 0.398 0.865 0.865  0.14
Mg 0.500 0.000 0.000  0.00
F 0.735 0.103 0.735  0.03
F 0.602 0.135 0.135  0.14
K 0.392 0.392 0.392  0.00
F 0.897 0.265 0.265  0.03

Values from the calculation:
- Fermi-level density of states: 8.1 states/eV per cell
- Uncorrected formation energy: -3.2652 eV/atom
- Spin magnetization: 0.06 μB/atom



8.
Computed, not measured: NiHSe2 after structural relaxation at the PBE level of DFT.

a = 5.872 Å, b = 7.149 Å, c = 3.594 Å
α = 99.94°, β = 89.24°, γ = 82.41°
Positions (direct):
Se 0.695 0.007 0.834
Ni 0.118 0.356 0.478
H 0.646 0.942 0.200
Se 0.706 0.423 0.495
Ni 0.483 0.320 0.963
H 0.652 0.639 0.581
Se 0.174 0.129 0.902
Se 0.179 0.566 0.049

Values from the calculation:
- E above lowest polymorph: 0.0 meV/atom
- Fermi-level density of states: 1.9 states/eV per cell
- Spin magnetization: 0.00 μB/atom